Here is crystalline Ho3Co7Si2 at its relaxed geometry from the Alexandria database. Energies are from GGA-PBE.

Geometry as POSCAR:
```
Ho3Co7Si2
1.0
-3.621 -2.476 -2.676
-0.113 -5.137 -0.027
-5.726 -2.471 5.102
Co Si Ho
7 2 3
Direct
0.578 0.578 0.763 Co
0.082 0.578 0.763 Co
0.500 0.500 0.500 Co
0.422 0.918 0.237 Co
0.422 0.422 0.237 Co
0.918 0.422 0.237 Co
0.578 0.082 0.763 Co
0.667 0.667 0.999 Si
0.333 0.333 0.001 Si
0.000 0.000 0.000 Ho
0.141 0.141 0.576 Ho
0.859 0.859 0.424 Ho
```

Properties
- N(E_F): 0.8944 states/eV per atom
- VASP energy: -79.89 eV/cell
- Raw formation energy: -464.1 meV/atom

=====

Here is crystalline AsI2N at its relaxed geometry from the Alexandria database. Energies are from GGA-PBE.

Geometry as POSCAR:
```
AsI2N
1.0
-0.816 3.238 3.897
-3.752 3.488 -0.304
-4.201 -0.490 2.907
N I As
1 2 1
Direct
0.000 0.000 0.000 N
0.250 0.250 0.250 I
0.750 0.750 0.750 I
0.500 0.500 0.500 As
```

Properties
- N(E_F): 0.4840 states/eV per atom
- VASP energy: -9.95 eV/cell
- Raw formation energy: 1532.0 meV/atom

=====

Here is crystalline KLaSiS4 at its relaxed geometry from the Alexandria database. Energies are from GGA-PBE.

Geometry as POSCAR:
```
KLaSiS4
1.0
-4.592 1.642 4.610
4.105 -2.055 4.820
4.872 6.972 2.369
S K La Si
8 2 2 2
Direct
0.962 0.912 0.333 S
0.728 0.491 0.229 S
0.925 0.899 0.939 S
0.225 0.527 0.213 S
0.725 0.473 0.787 S
0.462 0.088 0.667 S
0.425 0.101 0.061 S
0.228 0.509 0.771 S
0.972 0.226 0.567 K
0.472 0.774 0.433 K
0.992 0.268 0.052 La
0.492 0.732 0.948 La
0.463 0.282 0.818 Si
0.963 0.718 0.182 Si
```

Properties
- N(E_F): 0.0000 states/eV per atom
- VASP energy: -76.74 eV/cell
- Raw formation energy: -1487.4 meV/atom

=====

Here is crystalline ScAu3N at its relaxed geometry from the Alexandria database. Energies are from GGA-PBE.

Geometry as POSCAR:
```
ScAu3N
1.0
4.467 0.000 0.000
0.000 4.467 0.000
0.000 0.000 4.467
Sc N Au
1 1 3
Direct
0.500 0.500 0.500 Sc
0.000 0.000 0.000 N
0.000 0.500 0.000 Au
0.000 0.000 0.500 Au
0.500 0.000 0.000 Au
```

Properties
- N(E_F): 0.3395 states/eV per atom
- VASP energy: -22.34 eV/cell
- Raw formation energy: 430.5 meV/atom